A plane-wave DFT calculation with PBE was carried out for a relaxed Cs2DySnBr6 crystal.

Output
The raw formation energy comes out at -1.4631 eV/atom. The energy is -69.961 eV for the cell shown. The space group is No. 59.

Cell lengths 7.897, 9.414, 11.476 Å; angles 90.00, 90.00, 90.00 degrees
Element x y z (fractional)
Cs  0.500  0.792  0.243
Cs  0.000  0.208  0.743
Cs  0.500  0.792  0.757
Cs  0.000  0.208  0.257
Dy  0.500  0.230  0.500
Dy  0.000  0.770  0.000
Sn  0.000  0.722  0.500
Sn  0.500  0.278  0.000
Br  0.500  0.217  0.254
Br  0.500  0.217  0.746
Br  0.000  0.783  0.246
Br  0.000  0.783  0.754
Br  0.254  0.013  0.500
Br  0.746  0.013  0.500
Br  0.244  0.432  0.500
Br  0.756  0.432  0.500
Br  0.744  0.568  0.000
Br  0.256  0.568  0.000
Br  0.246  0.987  0.000
Br  0.754  0.987  0.000

---

A plane-wave DFT calculation with PBE was carried out for a relaxed TcPbSe2 crystal.

Output
The raw formation energy comes out at -0.0283 eV/atom. The energy is -21.156 eV for the cell shown. Its relative energy among the computed polymorphs is 132 meV per atom. The space group is No. 8.

Cell lengths 6.089, 6.089, 5.884 Å; angles 68.74, 68.74, 29.96 degrees
Element x y z (fractional)
Pb  0.824  0.824  0.736
Se  0.993  0.993  0.043
Se  0.166  0.166  0.382
Tc  0.517  0.517  0.339